DFT (PBE-GGA) results for a relaxed structure of CsInTe2. Values from VASP.

The structure in Quantum ESPRESSO input format:
```
&SYSTEM
  ibrav = 0, nat = 32, ntyp = 3
/
ATOMIC_SPECIES
Te 127.60 Te.upf
In 114.82 In.upf
Cs 132.91 Cs.upf
ATOMIC_POSITIONS crystal
Te 0.6410 0.2597 0.4298
Te 0.3590 0.7403 0.5702
Te 0.5762 0.9537 0.7522
Te 0.9537 0.5762 0.2522
Te 0.5766 0.4234 0.7500
Te 0.7386 0.8551 0.0701
Te 0.0463 0.4238 0.7478
Te 0.2597 0.6410 0.9298
Te 0.1449 0.2614 0.4299
Te 0.9545 0.0455 0.2500
Te 0.4238 0.0463 0.2478
Te 0.7403 0.3590 0.0702
Te 0.2614 0.1449 0.9299
Te 0.4234 0.5766 0.2500
Te 0.8551 0.7386 0.5701
Te 0.0455 0.9545 0.7500
In 0.2882 0.9160 0.8351
In 0.2888 0.4183 0.8329
In 0.4183 0.2888 0.3329
In 0.7118 0.0840 0.1649
In 0.0840 0.7118 0.6649
In 0.9160 0.2882 0.3351
In 0.5817 0.7112 0.6671
In 0.7112 0.5817 0.1671
Cs 0.7807 0.6535 0.8869
Cs 0.2232 0.8477 0.1024
Cs 0.3465 0.2193 0.6131
Cs 0.7768 0.1523 0.8976
Cs 0.2193 0.3465 0.1131
Cs 0.6535 0.7807 0.3869
Cs 0.8477 0.2232 0.6024
Cs 0.1523 0.7768 0.3976
CELL_PARAMETERS angstrom
-6.5499 2.5395 5.5111
-2.2021 -8.5504 1.3283
9.3463 -2.3020 15.8186
```

Formation energy from raw total energies ... -0.749 eV per atom
V ... 45.445 Å³ per atom
Mass density ... 4.6 g/cm3

***

DFT (PBE-GGA) results for a relaxed structure of Ta6CoRu5. Values from VASP.

The structure in Quantum ESPRESSO input format:
```
&SYSTEM
  ibrav = 0, nat = 12, ntyp = 3
/
ATOMIC_SPECIES
Ru 101.07 Ru.upf
Co 58.93 Co.upf
Ta 180.95 Ta.upf
ATOMIC_POSITIONS crystal
Ru 0.3329 0.3630 0.6659
Ru 0.6671 0.6370 0.3341
Ru 0.3373 0.8064 0.6745
Ru 0.0000 0.5000 0.0000
Ru 0.6627 0.1936 0.3255
Co 0.0000 0.0000 0.0000
Ta 0.1570 0.4054 0.3139
Ta 0.8430 0.5946 0.6861
Ta 0.5219 0.7730 0.0435
Ta 0.4781 0.2270 0.9565
Ta 0.1780 0.9301 0.3559
Ta 0.8220 0.0699 0.6441
CELL_PARAMETERS angstrom
-1.7866 -3.7959 -1.0265
3.9225 -0.2842 -5.7747
3.4331 -0.9415 6.6024
```

Calculated formation energy ... -321 meV per atom
V ... 15.785 Å³ per atom
Mass density ... 14.5 g/cm3

***

DFT (PBE-GGA) results for a relaxed structure of Y4P3Br. Values from VASP.

The structure in Quantum ESPRESSO input format:
```
&SYSTEM
  ibrav = 0, nat = 8, ntyp = 3
/
ATOMIC_SPECIES
P 30.97 P.upf
Y 88.91 Y.upf
Br 79.90 Br.upf
ATOMIC_POSITIONS crystal
P 0.0000 0.5001 0.5000
P 0.0000 0.0001 0.0000
P 0.5000 0.0001 0.5000
Y 0.5001 0.7619 0.2617
Y 0.0000 0.2238 0.2762
Y 0.4998 0.2383 0.7382
Y 0.0000 0.7764 0.7237
Br 0.5000 0.5001 0.0000
CELL_PARAMETERS angstrom
4.0211 -0.0500 0.0684
0.0512 6.7502 1.9446
-0.1144 0.3662 7.0144
```

Formation energy from raw total energies ... -1.563 eV per atom
V ... 23.451 Å³ per atom
Mass density ... 4.7 g/cm3

***

DFT (PBE-GGA) results for a relaxed structure of Na3Pm3AuO8. Values from VASP.

The structure in Quantum ESPRESSO input format:
```
&SYSTEM
  ibrav = 0, nat = 15, ntyp = 4
/
ATOMIC_SPECIES
Na 22.99 Na.upf
Pm 145.00 Pm.upf
O 16.00 O.upf
Au 196.97 Au.upf
ATOMIC_POSITIONS crystal
Na 0.5000 0.5000 0.0000
Na 0.0000 0.5000 0.0000
Na 0.0000 0.0000 0.0000
Pm 0.5000 0.5000 0.5000
Pm 0.5000 0.0000 0.5000
Pm 0.0000 0.5000 0.5000
O 0.7856 0.5711 0.3005
O 0.7400 0.4799 0.7119
O 0.2144 0.4289 0.6995
O 0.2600 0.5201 0.2881
O 0.2328 0.9875 0.7154
O 0.7672 0.0125 0.2846
O 0.2453 0.0125 0.2846
O 0.7547 0.9875 0.7154
Au 0.0000 0.0000 0.5000
CELL_PARAMETERS angstrom
7.0261 0.0000 0.0000
-3.5130 6.0169 -0.0740
0.0000 -4.0409 5.6245
```

Formation energy from raw total energies ... -2.077 eV per atom
V ... 15.712 Å³ per atom
Mass density ... 5.8 g/cm3

***

DFT (PBE-GGA) results for a relaxed structure of Pm3Hg2Ge. Values from VASP.

The structure in Quantum ESPRESSO input format:
```
&SYSTEM
  ibrav = 0, nat = 12, ntyp = 3
/
ATOMIC_SPECIES
Hg 200.59 Hg.upf
Pm 145.00 Pm.upf
Ge 72.64 Ge.upf
ATOMIC_POSITIONS crystal
Hg 0.3052 0.8231 0.6093
Hg 0.6948 0.1769 0.3907
Hg 0.3041 0.3231 0.6093
Hg 0.6959 0.6769 0.3907
Pm 0.8598 0.4663 0.7205
Pm 0.1393 0.0337 0.2795
Pm 0.4997 0.7500 0.0000
Pm 0.1402 0.5337 0.2795
Pm 0.5003 0.2500 0.0000
Pm 0.8607 0.9663 0.7205
Ge 0.9996 0.7500 0.0000
Ge 0.0004 0.2500 0.0000
CELL_PARAMETERS angstrom
-0.7645 -4.1872 3.9180
6.1564 -4.2914 -3.3851
4.3417 6.1244 3.1214
```

Calculated formation energy ... -486 meV per atom
V ... 29.760 Å³ per atom
Mass density ... 8.5 g/cm3

***

DFT (PBE-GGA) results for a relaxed structure of KVNi2Ru. Values from VASP.

The structure in Quantum ESPRESSO input format:
```
&SYSTEM
  ibrav = 0, nat = 5, ntyp = 4
/
ATOMIC_SPECIES
Ni 58.69 Ni.upf
Ru 101.07 Ru.upf
K 39.10 K.upf
V 50.94 V.upf
ATOMIC_POSITIONS crystal
Ni 0.5000 0.0000 0.0000
Ni 0.0000 0.0000 0.5000
Ru 0.5000 0.5000 0.5000
K 0.0000 0.0000 0.0000
V 0.0000 0.5000 0.0000
CELL_PARAMETERS angstrom
-3.7925 1.8323 -0.0392
-1.3461 -2.7154 3.3116
1.3280 2.8095 2.8435
```

Calculated formation energy ... 2461 meV per atom
V ... 15.929 Å³ per atom
Mass density ... 6.4 g/cm3